DFT (PBE-GGA) results for ZnSbRu2 after structural relaxation.

Summary:
Space group: No. 71
Volume (Å³ per cell): 70.2
Electronic total energy (eV/cell): -21.03
DOS(E_F) (states/eV/atom): 1.2194

abc: 5.9535 5.9535 5.9535
angles: 151.85 134.87 54.04
Fractional coordinates of all 4 atoms:
Zn 0.0000 0.0000 0.0000
Sb 0.5000 0.5000 0.0000
Ru 0.2346 0.2346 0.0000
Ru 0.7654 0.7654 0.0000

DFT (PBE-GGA) results for ZnSbRu2 after structural relaxation.

Summary:
Space group: No. 25
Volume (Å³ per cell): 64.0
Electronic total energy (eV/cell): -23.32
DOS(E_F) (states/eV/atom): 1.0414

abc: 2.9906 3.8587 5.5418
angles: 90.00 90.00 90.00
Fractional coordinates of all 4 atoms:
Zn 0.0000 0.0000 0.0000
Sb 0.5000 0.5000 0.6888
Ru 0.0000 0.0000 0.4668
Ru 0.5000 0.5000 0.1850

DFT (PBE-GGA) results for ZnSbRu after structural relaxation.

Summary:
Space group: No. 156
Volume (Å³ per cell): 56.3
Relative energy among the computed polymorphs (meV/atom): 135
Electronic total energy (eV/cell): -14.29
DOS(E_F) (states/eV/atom): 0.5752

abc: 3.1747 3.1747 6.4526
angles: 90.00 90.00 120.00
Fractional coordinates of all 3 atoms:
Zn 0.0000 0.0000 0.0000
Sb 0.6667 0.3333 0.5894
Ru 0.3333 0.6667 0.2939

DFT (PBE-GGA) results for ZnSb4Ru after structural relaxation.

Summary:
Space group: No. 216
Volume (Å³ per cell): 159.5
Electronic total energy (eV/cell): -21.56
DOS(E_F) (states/eV/atom): 0.8149

abc: 6.0875 6.0875 6.0875
angles: 60.00 60.00 60.00
Fractional coordinates of all 6 atoms:
Zn 0.0000 0.0000 0.0000
Sb 0.3744 0.3744 0.3744
Sb 0.3744 0.3744 0.8767
Sb 0.3744 0.8767 0.3744
Sb 0.8767 0.3744 0.3744
Ru 0.7500 0.7500 0.7500

DFT (PBE-GGA) results for ZnSbRu2 after structural relaxation.

Summary:
Space group: No. 12
Volume (Å³ per cell): 63.9
Electronic total energy (eV/cell): -23.48
DOS(E_F) (states/eV/atom): 0.9306

abc: 4.4402 4.4402 5.1058
angles: 101.43 101.43 40.47
Fractional coordinates of all 4 atoms:
Zn 0.0000 0.0000 0.0000
Sb 0.5000 0.5000 0.5000
Ru 0.2498 0.2498 0.7629
Ru 0.7502 0.7502 0.2371

DFT (PBE-GGA) results for ZnSbRu after structural relaxation.

Summary:
Space group: No. 107
Volume (Å³ per cell): 58.7
Relative energy among the computed polymorphs (meV/atom): 61
Electronic total energy (eV/cell): -14.52
DOS(E_F) (states/eV/atom): 0.3897

abc: 6.3731 6.3731 6.3731
angles: 151.54 151.54 40.69
Fractional coordinates of all 3 atoms:
Zn 0.0000 0.0000 0.0000
Sb 0.7431 0.7431 0.0000
Ru 0.3758 0.3758 0.0000

DFT (PBE-GGA) results for Zn2SbRu after structural relaxation.

Summary:
Space group: No. 65
Volume (Å³ per cell): 67.3
Electronic total energy (eV/cell): -15.24
DOS(E_F) (states/eV/atom): 0.5284

abc: 4.7248 4.7248 3.2579
angles: 90.00 90.00 112.32
Fractional coordinates of all 4 atoms:
Zn 0.0000 0.5000 0.0000
Zn 0.5000 0.0000 0.0000
Sb 0.0000 0.0000 0.5000
Ru 0.5000 0.5000 0.5000

DFT (PBE-GGA) results for Zn2SbRu after structural relaxation.

Summary:
Space group: No. 139
Volume (Å³ per cell): 65.0
Electronic total energy (eV/cell): -15.61
DOS(E_F) (states/eV/atom): 0.4755

abc: 5.1115 5.1115 5.1115
angles: 135.35 135.35 64.99
Fractional coordinates of all 4 atoms:
Zn 0.2500 0.7500 0.5000
Zn 0.7500 0.2500 0.5000
Sb 0.0000 0.0000 0.0000
Ru 0.5000 0.5000 0.0000

DFT (PBE-GGA) results for ZnSbRu2 after structural relaxation.

Summary:
Space group: No. 119
Volume (Å³ per cell): 62.9
Electronic total energy (eV/cell): -23.15
DOS(E_F) (states/eV/atom): 1.1348

abc: 5.0405 5.0405 5.0405
angles: 135.08 135.08 65.41
Fractional coordinates of all 4 atoms:
Zn 0.0000 0.0000 0.0000
Sb 0.7500 0.2500 0.5000
Ru 0.2500 0.7500 0.5000
Ru 0.5000 0.5000 0.0000

DFT (PBE-GGA) results for ZnSbRu2 after structural relaxation.

Summary:
Space group: No. 71
Volume (Å³ per cell): 64.3
Electronic total energy (eV/cell): -23.01
DOS(E_F) (states/eV/atom): 1.0832

abc: 5.0257 5.0257 5.0257
angles: 142.77 121.47 71.45
Fractional coordinates of all 4 atoms:
Zn 0.0000 0.0000 0.0000
Sb 0.5000 0.5000 0.0000
Ru 0.2440 0.7440 0.5000
Ru 0.7560 0.2560 0.5000

DFT (PBE-GGA) results for Zn2SbRu after structural relaxation.

Summary:
Space group: No. 8
Volume (Å³ per cell): 67.8
Electronic total energy (eV/cell): -15.60
DOS(E_F) (states/eV/atom): 0.5924

abc: 4.7524 4.7524 4.8091
angles: 99.55 99.55 39.36
Fractional coordinates of all 4 atoms:
Zn 0.0000 0.0000 0.0000
Zn 0.2487 0.2487 0.8057
Sb 0.4769 0.4769 0.4703
Ru 0.7424 0.7424 0.2629

DFT (PBE-GGA) results for ZnSbRu after structural relaxation.

Summary:
Space group: No. 216
Volume (Å³ per cell): 57.5
Relative energy among the computed polymorphs (meV/atom): 0
Electronic total energy (eV/cell): -14.70
DOS(E_F) (states/eV/atom): 0.6172

abc: 4.3324 4.3324 4.3324
angles: 60.00 60.00 60.00
Fractional coordinates of all 3 atoms:
Zn 0.0000 0.0000 0.0000
Sb 0.5000 0.5000 0.5000
Ru 0.7500 0.7500 0.7500